No. 1
DFT (PBE) results for a relaxed structure of Ti2TcAg.

Output
Its total energy is -30.04 eV for the cell shown.

Unit cell a=3.1625 b=3.1625 c=6.4902 alpha=90.00 beta=90.00 gamma=90.00
Last column: nearest neighbours and their distance in Å.
Space group P4/mmm (No. 123)
Asymmetric unit:
Ti1 0.0000 0.0000 0.2220  4 Tc 2.66, 4 Ag 2.87, 1 Ti 2.88
Tc1 0.5000 0.5000 0.0000  8 Ti 2.66
Ag1 0.5000 0.5000 0.5000  8 Ti 2.87, 4 Ag 3.16

No. 2
DFT (PBE) results for a relaxed structure of Sr2Ge2Br.

Output
The uncorrected formation energy comes out at -0.964 eV/atom. The calculation puts the relative energy among the computed polymorphs at 0.0000 eV per atom.

Unit cell a=8.0764 b=4.4688 c=8.8010 alpha=90.00 beta=108.02 gamma=90.00
Last column: nearest neighbours and their distance in Å.
Space group C2/m (No. 12)
Asymmetric unit:
Sr1 0.0796 0.0000 0.2431  6 Ge 3.26-3.45, 3 Br 3.38-3.45
Ge1 0.1687 0.5000 0.0106  3 Ge 2.63-2.67
Br1 0.0000 0.5000 0.5000  6 Sr 3.38-3.45

No. 3
DFT (PBE) results for a relaxed structure of Mn2CS.

Output
The uncorrected formation energy comes out at 0.101 eV/atom.

Unit cell a=4.7037 b=4.7037 c=9.5911 alpha=90.00 beta=90.00 gamma=90.00
Last column: nearest neighbours and their distance in Å.
Space group I-42d (No. 122)
Asymmetric unit:
Mn1 0.1838 0.2500 0.1250  2 C 1.89
C1 0.0000 0.0000 0.0000  4 Mn 1.89
S1 0.0000 0.0000 0.5000  4 Mn 2.24